Below is Cr2FeIr at its PBEsol-relaxed geometry, with properties calculated at the meta-GGA SCAN level.

Cell lengths 4.0926, 4.0926, 4.0926 Å; angles 60.00, 60.00, 60.00 degrees
Last column: nearest neighbours and their distance in Å.
Fractional positions:
1 Cr 0.2500 0.2500 0.2500  4 Fe 2.51, 4 Ir 2.51
2 Cr 0.7500 0.7500 0.7500  4 Ir 2.51, 4 Fe 2.51
3 Ir 0.5000 0.5000 0.5000  8 Cr 2.51
4 Fe 0.0000 0.0000 0.0000  8 Cr 2.51

Computed properties:
Formation enthalpy at 0 K in eV per atom: 0.043
Density of states at the Fermi level in states/eV per atom: 1.381
Symmetry: No. 225


Below is CrFeIr2 at its PBEsol-relaxed geometry, with properties calculated at the meta-GGA SCAN level.

Cell lengths 2.6470, 3.6089, 5.3034 Å; angles 90.00, 90.00, 90.00 degrees
Last column: nearest neighbours and their distance in Å.
Fractional positions:
1 Fe 0.5000 0.5000 0.5000  8 Ir 2.60, 2 Fe 2.65, 2 Cr 2.65
2 Ir 0.0000 0.0000 0.2497  4 Cr 2.60, 4 Fe 2.60, 4 Ir 2.65
3 Ir 0.0000 0.0000 0.7503  4 Cr 2.60, 4 Fe 2.60, 4 Ir 2.65
4 Cr 0.5000 0.5000 0.0000  8 Ir 2.60, 2 Cr 2.65, 2 Fe 2.65

Computed properties:
Formation enthalpy at 0 K in eV per atom: -0.290
Density of states at the Fermi level in states/eV per atom: 0.801
Symmetry: No. 47


Below is TaCrFe2Ir at its PBEsol-relaxed geometry, with properties calculated at the meta-GGA SCAN level.

Cell lengths 4.5717, 4.5717, 4.7352 Å; angles 90.00, 90.00, 90.00 degrees
Last column: nearest neighbours and their distance in Å.
Fractional positions:
1 Cr 0.5000 0.5000 0.5000  4 Ta 3.23, 8 Fe 3.29
2 Fe 0.0000 0.5000 0.0000  2 Ir 2.29
3 Fe 0.5000 0.0000 0.0000  2 Ir 2.29
4 Ta 0.0000 0.0000 0.5000  2 Ir 2.37
5 Ir 0.0000 0.0000 0.0000  4 Fe 2.29, 2 Ta 2.37

Computed properties:
Formation enthalpy at 0 K in eV per atom: 1.131
Density of states at the Fermi level in states/eV per atom: 0.926
Symmetry: No. 123


Below is KCrFe at its PBEsol-relaxed geometry, with properties calculated at the meta-GGA SCAN level.

Cell lengths 4.8039, 4.8039, 4.8039 Å; angles 60.00, 60.00, 60.00 degrees
Last column: nearest neighbours and their distance in Å.
Fractional positions:
1 Cr 0.0000 0.0000 0.0000  4 K 2.94
2 Fe 0.5000 0.5000 0.5000  4 K 2.94
3 K 0.7500 0.7500 0.7500  4 Fe 2.94, 4 Cr 2.94

Computed properties:
Formation enthalpy at 0 K in eV per atom: 1.851
Density of states at the Fermi level in states/eV per atom: 0.629
Symmetry: No. 216


Question: Look up the density of states at the Fermi level of the third one.
Answer: 0.926 states/eV per atom


Question: Look up the formation enthalpy at 0 K of the third one.
Answer: 1.131 eV per atom


Question: What is the formula in the second record?
Answer: CrFeIr2